1.
Below is a relaxed Ta2SbOs crystal, with properties calculated at the PBE level.

The space group is P2/m (No. 10) and the conventional cell measures 2.989, 4.258 and 5.547 Å, with angles of 90.00, 90.59 and 90.00 degrees. The asymmetric unit holds Ta at (0.014, 0.000, 0.260), Sb at (0.500, 0.500, 0.000) and Os at (0.500, 0.500, 0.500).

The calculation puts the raw total energy at -9.7036 eV per atom. The density of states at the Fermi level is 2.63 states/eV/f.u. The value obtained for the uncorrected formation energy is 0.061 eV per atom.

=====

2.
Below is a relaxed TaSbOs2 crystal, with properties calculated at the PBE level.

The space group is Immm (No. 71) and the conventional cell measures 3.115, 4.696 and 9.112 Å, with angles of 90.00, 90.00 and 90.00 degrees. The asymmetric unit holds Ta at (0.000, 0.000, 0.000), Sb at (0.000, 0.000, 0.500) and Os at (0.000, 0.500, 0.236).

The calculation puts the raw total energy at -9.2376 eV per atom. The density of states at the Fermi level is 3.79 states/eV/f.u. The value obtained for the uncorrected formation energy is 0.371 eV per atom.

=====

3.
Below is a relaxed TaSbOs crystal, with properties calculated at the PBE level.

The space group is Imm2 (No. 44) and the conventional cell measures 3.089, 4.240 and 8.213 Å, with angles of 90.00, 90.00 and 90.00 degrees. The asymmetric unit holds Ta at (0.000, 0.000, 0.000), Sb at (0.000, 0.000, 0.331) and Os at (0.000, 0.000, 0.664).

The calculation puts the raw total energy at -8.7674 eV per atom. The density of states at the Fermi level is 1.67 states/eV/f.u. The value obtained for the uncorrected formation energy is 0.301 eV per atom.

=====

4.
Below is a relaxed Ta2SbOs crystal, with properties calculated at the PBE level.

The space group is I-42d (No. 122) and the conventional cell measures 3.996, 3.996 and 19.420 Å, with angles of 90.00, 90.00 and 90.00 degrees. The asymmetric unit holds Ta at (0.247, 0.250, 0.125), Sb at (0.000, 0.000, 0.000) and Os at (0.000, 0.000, 0.500).

The calculation puts the raw total energy at -9.1465 eV per atom. The density of states at the Fermi level is 3.07 states/eV/f.u. The value obtained for the uncorrected formation energy is 0.618 eV per atom.

=====

5.
Below is a relaxed TaSbOs crystal, with properties calculated at the PBE level.

The space group is P-6m2 (No. 187) and the conventional cell measures 4.5111, 4.5111 and 3.0104 Å, with angles of 90.00, 90.00 and 120.00 degrees. The asymmetric unit holds Ta at (0.0000, 0.0000, 0.0000), Sb at (0.3333, 0.6667, 0.5000) and Os at (0.6667, 0.3333, 0.5000).

The calculation puts the raw total energy at -8.9599 eV per atom. The density of states at the Fermi level is 1.08 states/eV/f.u. The value obtained for the uncorrected formation energy is 0.108 eV per atom.

=====

6.
Below is a relaxed TaSbOs2 crystal, with properties calculated at the PBE level.

The space group is Pmmm (No. 47) and the conventional cell measures 3.074, 3.585 and 6.178 Å, with angles of 90.00, 90.00 and 90.00 degrees. The asymmetric unit holds Ta at (0.000, 0.000, 0.000), Sb at (0.000, 0.000, 0.500) and Os at (0.500, 0.500, 0.237).

The calculation puts the raw total energy at -9.4170 eV per atom. The density of states at the Fermi level is 3.31 states/eV/f.u. The value obtained for the uncorrected formation energy is 0.192 eV per atom.

=====

7.
Below is a relaxed TaSbOs2 crystal, with properties calculated at the PBE level.

The space group is Pmmm (No. 47) and the conventional cell measures 3.096, 4.534 and 4.797 Å, with angles of 90.00, 90.00 and 90.00 degrees. The asymmetric unit holds Ta at (0.000, 0.000, 0.000), Sb at (0.500, 0.000, 0.500), Os at (0.000, 0.500, 0.500) and Os at (0.500, 0.500, 0.000).

The calculation puts the raw total energy at -9.1870 eV per atom. The density of states at the Fermi level is 3.37 states/eV/f.u. The value obtained for the uncorrected formation energy is 0.422 eV per atom.

=====

8.
Below is a relaxed TaSbOs crystal, with properties calculated at the PBE level.

The space group is P3m1 (No. 156) and the conventional cell measures 3.1334, 3.1334 and 6.6659 Å, with angles of 90.00, 90.00 and 120.00 degrees. The asymmetric unit holds Ta at (0.0000, 0.0000, 0.0000), Sb at (0.3333, 0.6667, 0.6344) and Os at (0.6667, 0.3333, 0.2797).

The calculation puts the raw total energy at -8.7772 eV per atom. The density of states at the Fermi level is 1.50 states/eV/f.u. The value obtained for the uncorrected formation energy is 0.291 eV per atom.

=====

9.
Below is a relaxed TaSbOs2 crystal, with properties calculated at the PBE level.

The space group is C2/m (No. 12) and the conventional cell measures 9.071, 3.071 and 5.022 Å, with angles of 90.00, 101.37 and 90.00 degrees. The asymmetric unit holds Ta at (0.000, 0.000, 0.000), Sb at (0.000, 0.500, 0.500) and Os at (0.238, 0.500, 0.225).

The calculation puts the raw total energy at -9.3346 eV per atom. The density of states at the Fermi level is 2.70 states/eV/f.u. The value obtained for the uncorrected formation energy is 0.274 eV per atom.

=====

10.
Below is a relaxed TaSbOs2 crystal, with properties calculated at the PBE level.

The space group is Cm (No. 8) and the conventional cell measures 9.525, 3.233 and 4.586 Å, with angles of 90.00, 104.27 and 90.00 degrees. The asymmetric unit holds Ta at (0.000, 0.000, 0.000), Sb at (0.259, 0.500, 0.367), Os at (0.273, 0.000, 0.886) and Os at (0.499, 0.000, 0.502).

The calculation puts the raw total energy at -9.3839 eV per atom. The density of states at the Fermi level is 1.55 states/eV/f.u. The value obtained for the uncorrected formation energy is 0.225 eV per atom.

=====

11.
Below is a relaxed Ta2SbOs crystal, with properties calculated at the PBE level.

The space group is P4/mmm (No. 123) and the conventional cell measures 3.059, 3.059 and 7.787 Å, with angles of 90.00, 90.00 and 90.00 degrees. The asymmetric unit holds Ta at (0.000, 0.000, 0.220), Sb at (0.500, 0.500, 0.500) and Os at (0.500, 0.500, 0.000).

The calculation puts the raw total energy at -9.7436 eV per atom. The density of states at the Fermi level is 2.60 states/eV/f.u. The value obtained for the uncorrected formation energy is 0.021 eV per atom.

=====

12.
Below is a relaxed Ta2SbOs crystal, with properties calculated at the PBE level.

The space group is R3m (No. 160, hexagonal axes) and the conventional cell measures 3.1180, 3.1180 and 26.8453 Å, with angles of 90.00, 90.00 and 120.00 degrees. The asymmetric unit holds Ta at (0.0000, 0.0000, 0.0000), Ta at (0.0000, 0.0000, 0.2472), Sb at (0.0000, 0.0000, 0.7562) and Os at (0.0000, 0.0000, 0.5098).

The calculation puts the raw total energy at -9.4987 eV per atom. The density of states at the Fermi level is 3.19 states/eV/f.u. The value obtained for the uncorrected formation energy is 0.266 eV per atom.

=====

13.
Below is a relaxed TaSbOs2 crystal, with properties calculated at the PBE level.

The space group is I4/mmm (No. 139) and the conventional cell measures 4.234, 4.234 and 7.433 Å, with angles of 90.00, 90.00 and 90.00 degrees. The asymmetric unit holds Ta at (0.000, 0.000, 0.000), Sb at (0.000, 0.000, 0.500) and Os at (0.000, 0.500, 0.250).

The calculation puts the raw total energy at -9.4292 eV per atom. The density of states at the Fermi level is 2.02 states/eV/f.u. The value obtained for the uncorrected formation energy is 0.179 eV per atom.

=====

14.
Below is a relaxed TaSbOs2 crystal, with properties calculated at the PBE level.

The space group is R-3m (No. 166, hexagonal axes) and the conventional cell measures 3.1009, 3.1009 and 25.3597 Å, with angles of 90.00, 90.00 and 120.00 degrees. The asymmetric unit holds Ta at (0.0000, 0.0000, 0.0000), Sb at (0.0000, 0.0000, 0.5000) and Os at (0.0000, 0.0000, 0.2550).

The calculation puts the raw total energy at -9.3220 eV per atom. The density of states at the Fermi level is 3.47 states/eV/f.u. The value obtained for the uncorrected formation energy is 0.287 eV per atom.

=====

15.
Below is a relaxed TaSbOs2 crystal, with properties calculated at the PBE level.

The space group is Pm (No. 6) and the conventional cell measures 2.902, 4.126 and 5.946 Å, with angles of 90.00, 103.90 and 90.00 degrees. The asymmetric unit holds Ta at (0.000, 0.000, 0.000), Sb at (0.376, 0.500, 0.747), Os at (0.218, 0.000, 0.439) and Os at (0.631, 0.500, 0.264).

The calculation puts the raw total energy at -9.3108 eV per atom. The density of states at the Fermi level is 2.57 states/eV/f.u. The value obtained for the uncorrected formation energy is 0.298 eV per atom.